Record 1
# Pr4NdDy10

A geometry-optimized Pr4NdDy10 structure (PBE, Alexandria). Values from VASP.

Properties
Calculated formation energy in eV/atom: 0.3383
SG: No. 87

```
&SYSTEM
  ibrav = 0, nat = 15, ntyp = 3
/
ATOMIC_SPECIES
Pr 140.91 Pr.upf
Dy 162.50 Dy.upf
Nd 144.24 Nd.upf
CELL_PARAMETERS angstrom
-10.1392 -3.4900 -0.4909
-3.1186 -7.7891 2.4287
-6.2154 0.6917 6.0980
ATOMIC_POSITIONS crystal
Pr 0.9350 0.3986 0.7314
Pr 0.3336 0.7314 0.6014
Pr 0.6664 0.2686 0.3986
Pr 0.0650 0.6014 0.2686
Dy 0.2259 0.3244 0.9054
Dy 0.5443 0.3244 0.9054
Dy 0.7741 0.6756 0.0946
Dy 0.1313 0.0946 0.3244
Dy 0.7500 0.5000 0.5000
Dy 0.5503 0.9054 0.6756
Dy 0.8687 0.9054 0.6756
Dy 0.4557 0.6756 0.0946
Dy 0.4497 0.0946 0.3244
Dy 0.2500 0.5000 0.5000
Nd 0.0000 0.0000 0.0000
```

=====

Record 2
# Pr4Nd11Dy9

A geometry-optimized Pr4Nd11Dy9 structure (PBE, Alexandria). Values from VASP.

Properties
Calculated formation energy in eV/atom: 0.0658
SG: No. 65

```
&SYSTEM
  ibrav = 0, nat = 24, ntyp = 3
/
ATOMIC_SPECIES
Nd 144.24 Nd.upf
Dy 162.50 Dy.upf
Pr 140.91 Pr.upf
CELL_PARAMETERS angstrom
-2.2974 1.4296 -2.5804
-10.3170 -11.0983 3.0370
-1.9665 12.5992 8.7309
ATOMIC_POSITIONS crystal
Nd 0.0000 0.9561 0.5937
Nd 0.0000 0.0000 0.0000
Nd 0.0000 0.0439 0.4063
Nd 0.0000 0.7112 0.7112
Nd 0.0000 0.5937 0.9561
Nd 0.0000 0.4063 0.0439
Nd 0.0000 0.3659 0.6341
Nd 0.0000 0.8407 0.1593
Nd 0.0000 0.6341 0.3659
Nd 0.0000 0.2888 0.2888
Nd 0.0000 0.1593 0.8407
Dy 0.5000 0.9354 0.7892
Dy 0.5000 0.8367 0.3653
Dy 0.5000 0.0646 0.2108
Dy 0.5000 0.1633 0.6347
Dy 0.5000 0.6347 0.1633
Dy 0.5000 0.5000 0.5000
Dy 0.5000 0.3653 0.8367
Dy 0.5000 0.7892 0.9354
Dy 0.5000 0.2108 0.0646
Pr 0.5000 0.4453 0.2438
Pr 0.5000 0.7562 0.5547
Pr 0.5000 0.2438 0.4453
Pr 0.5000 0.5547 0.7562
```